# 1
LiGd2Er after structural relaxation, computed with GGA-PBE.

Lattice parameters (Å, degrees): 3.465 3.465 36.297 90.00 90.00 120.00
Fractional positions:
Li  0.000  0.000  0.000
Li  0.333  0.667  0.667
Li  0.667  0.333  0.333
Gd  0.000  0.000  0.089
Gd  0.000  0.000  0.911
Gd  0.333  0.667  0.578
Gd  0.333  0.667  0.755
Gd  0.667  0.333  0.245
Gd  0.667  0.333  0.422
Er  0.000  0.000  0.500
Er  0.333  0.667  0.167
Er  0.667  0.333  0.833

Calculated values
Formation energy from the elements   0.166 eV/atom
SG   No. 166
Energy   -101.92 eV/cell
ρ   6.45 g cm⁻³

# 2
LaCrMo2 after structural relaxation, computed with GGA-PBE.

Lattice parameters (Å, degrees): 3.115 3.115 27.624 90.00 90.00 120.00
Fractional positions:
La  0.000  0.000  0.000
La  0.333  0.667  0.667
La  0.667  0.333  0.333
Cr  0.000  0.000  0.236
Cr  0.333  0.667  0.902
Cr  0.667  0.333  0.569
Mo  0.000  0.000  0.498
Mo  0.000  0.000  0.763
Mo  0.333  0.667  0.165
Mo  0.333  0.667  0.430
Mo  0.667  0.333  0.097
Mo  0.667  0.333  0.832

Calculated values
Formation energy from the elements   0.693 eV/atom
SG   No. 160
Energy   -100.32 eV/cell
ρ   8.21 g cm⁻³

# 3
NaLi2RhN after structural relaxation, computed with GGA-PBE.

Lattice parameters (Å, degrees): 4.264 4.264 3.878 90.00 90.00 90.00
Fractional positions:
Na  0.000  0.000  0.000
Li  0.000  0.500  0.500
Li  0.500  0.000  0.500
Rh  0.500  0.500  0.000
N  0.500  0.500  0.500

Calculated values
Formation energy without anion corrections   -0.20 eV/atom
SG   No. 123
Energy   -21.83 eV/cell
ρ   3.62 g cm⁻³

# 4
CdCuRe2 after structural relaxation, computed with GGA-PBE.

Lattice parameters (Å, degrees): 5.211 8.977 2.677 90.00 90.00 90.00
Fractional positions:
Cd  0.000  0.000  0.000
Cd  0.500  0.500  0.000
Cu  0.000  0.500  0.000
Cu  0.500  0.000  0.000
Re  0.250  0.250  0.500
Re  0.250  0.750  0.500
Re  0.750  0.250  0.500
Re  0.750  0.750  0.500

Calculated values
Formation energy from the elements   0.683 eV/atom
SG   No. 65
Energy   -54.35 eV/cell
ρ   14.54 g cm⁻³

# 5
Er6TlAu2 after structural relaxation, computed with GGA-PBE.

Lattice parameters (Å, degrees): 8.618 8.618 8.618 113.19 111.07 104.28
Fractional positions:
Er  0.036  0.237  0.799
Er  0.185  0.288  0.473
Er  0.185  0.712  0.897
Er  0.327  0.031  0.703
Er  0.327  0.624  0.297
Er  0.439  0.237  0.201
Er  0.561  0.763  0.799
Er  0.673  0.376  0.703
Er  0.673  0.969  0.297
Er  0.815  0.288  0.103
Er  0.815  0.712  0.527
Er  0.964  0.763  0.201
Tl  0.000  0.000  0.000
Tl  0.500  0.500  0.000
Au  0.134  0.634  0.500
Au  0.344  0.000  0.344
Au  0.656  0.000  0.656
Au  0.866  0.366  0.500

Calculated values
Formation energy from the elements   -0.478 eV/atom
SG   No. 71
Energy   -81.20 eV/cell
ρ   10.87 g cm⁻³

# 6
Cs3Pu2Cl8 after structural relaxation, computed with GGA-PBE.

Lattice parameters (Å, degrees): 10.727 10.727 10.727 44.77 44.77 44.77
Fractional positions:
Cs  0.000  0.000  0.000
Cs  0.198  0.198  0.198
Cs  0.802  0.802  0.802
Pu  0.406  0.406  0.406
Pu  0.594  0.594  0.594
Cl  0.212  0.741  0.741
Cl  0.259  0.259  0.788
Cl  0.259  0.788  0.259
Cl  0.315  0.315  0.315
Cl  0.685  0.685  0.685
Cl  0.741  0.212  0.741
Cl  0.741  0.741  0.212
Cl  0.788  0.259  0.259

Calculated values
Formation energy without anion corrections   -1.88 eV/atom
SG   No. 166
Energy   -70.42 eV/cell
ρ   3.49 g cm⁻³

# 7
PrHgBiAu after structural relaxation, computed with GGA-PBE.

Lattice parameters (Å, degrees): 7.498 7.498 7.498 90.00 90.00 90.00
Fractional positions:
Pr  0.000  0.000  0.000
Pr  0.000  0.500  0.500
Pr  0.500  0.000  0.500
Pr  0.500  0.500  0.000
Hg  0.250  0.250  0.750
Hg  0.250  0.750  0.250
Hg  0.750  0.250  0.250
Hg  0.750  0.750  0.750
Bi  0.000  0.000  0.500
Bi  0.000  0.500  0.000
Bi  0.500  0.000  0.000
Bi  0.500  0.500  0.500
Au  0.250  0.250  0.250
Au  0.250  0.750  0.750
Au  0.750  0.250  0.750
Au  0.750  0.750  0.250

Calculated values
Formation energy from the elements   -0.476 eV/atom
SG   No. 216
Energy   -56.58 eV/cell
ρ   11.78 g cm⁻³

# 8
CeTcHg after structural relaxation, computed with GGA-PBE.

Lattice parameters (Å, degrees): 9.550 5.352 5.430 90.00 107.32 90.00
Fractional positions:
Ce  0.192  0.000  0.139
Ce  0.308  0.500  0.861
Ce  0.692  0.500  0.139
Ce  0.808  0.000  0.861
Tc  0.120  0.000  0.699
Tc  0.380  0.500  0.301
Tc  0.620  0.500  0.699
Tc  0.880  0.000  0.301
Hg  0.065  0.500  0.296
Hg  0.435  0.000  0.704
Hg  0.565  0.000  0.296
Hg  0.935  0.500  0.704

Calculated values
Formation energy from the elements   -0.065 eV/atom
SG   No. 12
Energy   -67.18 eV/cell
ρ   11.00 g cm⁻³

Number 1: N(E_F) 1.225 states/eV/atom. Number 2: N(E_F) 1.015 states/eV/atom. Number 3: N(E_F) 0.253 states/eV/atom. Number 4: N(E_F) 1.022 states/eV/atom. Number 5: N(E_F) 0.916 states/eV/atom. Number 6: N(E_F) 2.617 states/eV/atom. Number 7: N(E_F) 0.702 states/eV/atom. Number 8: N(E_F) 0.931 states/eV/atom.